[1]
DFT (PBE) results for La8Co3HBr3 after structural relaxation.

abc: 14.1670 8.0735 8.9663
angles: 90.00 121.29 90.00
With the nearest neighbours (Å) after each atom.
Space group C2/m (No. 12)
Symmetry-distinct sites (fractional):
La (0.0176, 0.2434, 0.3024) (multiplicity 8)  2 Co 2.74-2.82, 1 H 2.82
La (0.2344, 0.0000, 0.6951) (multiplicity 4)  3 Co 2.75-2.84
La (0.2383, 0.5000, 0.6983) (multiplicity 4)  2 Co 2.75, 1 H 2.88
Co (0.0000, 0.0000, 0.5000) (multiplicity 2)  6 La 2.74-2.84
Co (0.2500, 0.2500, 0.5000) (multiplicity 4)  6 La 2.75-2.82
H (0.0000, 0.5000, 0.5000) (multiplicity 2)  6 La 2.82-2.88
Br (0.0000, 0.5000, 0.0000) (multiplicity 2)  6 La 3.31-3.32
Br (0.2500, 0.2500, 0.0000) (multiplicity 4)  6 La 3.31-3.32

=====

[2]
DFT (PBE) results for La6Co2HBr3 after structural relaxation.

abc: 7.2280 11.8259 8.2144
angles: 90.00 107.74 90.00
With the nearest neighbours (Å) after each atom.
Space group C2/m (No. 12)
Symmetry-distinct sites (fractional):
La (0.2123, 0.0000, 0.1967) (multiplicity 4)  2 Co 2.70, 1 H 3.00
La (0.2237, 0.3284, 0.1894) (multiplicity 8)  2 Co 2.69-2.88, 1 H 2.76
Co (0.0000, 0.1653, 0.0000) (multiplicity 4)  6 La 2.69-2.88
H (0.0000, 0.5000, 0.0000) (multiplicity 2)  6 La 2.76-3.00
Br (0.0000, 0.0000, 0.5000) (multiplicity 2)  6 La 3.30-3.39
Br (0.0000, 0.3300, 0.5000) (multiplicity 4)  6 La 3.30-3.41

=====

[3]
DFT (PBE) results for CoH4Br3N after structural relaxation.

abc: 6.2611 7.6100 13.1740
angles: 90.03 90.07 90.21
With the nearest neighbours (Å) after each atom.
Space group P-1 (No. 2)
Symmetry-distinct sites (fractional):
Co (0.0032, 0.2506, 0.2497) (multiplicity 2)  6 Br 2.54-2.63
Co (0.4613, 0.7493, 0.7501) (multiplicity 2)  6 Br 2.56-2.63
H (0.2519, 0.6953, 0.4807) (multiplicity 2)  1 N 1.04
H (0.2538, 0.1753, 0.8579) (multiplicity 2)  1 N 1.04
H (0.2545, 0.3778, 0.9147) (multiplicity 2)  1 N 1.04
H (0.2748, 0.8812, 0.4078) (multiplicity 2)  1 N 1.04
H (0.2770, 0.1916, 0.9875) (multiplicity 2)  1 N 1.04
H (0.2837, 0.6771, 0.3518) (multiplicity 2)  1 N 1.04
H (0.4772, 0.2562, 0.9104) (multiplicity 2)  1 N 1.03
H (0.4846, 0.7487, 0.4268) (multiplicity 2)  1 N 1.03
Br (0.2259, 0.5461, 0.6430) (multiplicity 2)  1 H 2.43, 2 Co 2.54-2.56
Br (0.2273, 0.6914, 0.9058) (multiplicity 2)  1 H 2.40, 2 Co 2.54-2.56
Br (0.2283, 0.0115, 0.7020) (multiplicity 2)  1 H 2.41, 2 Co 2.54-2.56
Br (0.2688, 0.0543, 0.1471) (multiplicity 2)  1 H 2.35, 2 Co 2.62-2.63
Br (0.2696, 0.1937, 0.4000) (multiplicity 2)  1 H 2.38, 2 Co 2.62-2.63
Br (0.2715, 0.5045, 0.2034) (multiplicity 2)  1 H 2.36, 2 Co 2.63
N (0.3133, 0.2501, 0.9179) (multiplicity 2)  4 H 1.03-1.04
N (0.3213, 0.7506, 0.4165) (multiplicity 2)  4 H 1.03-1.04

=====

[4]
DFT (PBE) results for Nd6Co2HBr3 after structural relaxation.

abc: 6.9117 11.9028 8.0771
angles: 90.00 106.69 90.00
With the nearest neighbours (Å) after each atom.
Space group C2/m (No. 12)
Symmetry-distinct sites (fractional):
Nd (0.2228, 0.0000, 0.1920) (multiplicity 4)  2 Co 2.70, 1 H 2.79
Nd (0.2328, 0.3299, 0.1908) (multiplicity 8)  2 Co 2.71-2.72, 1 H 2.76
Co (0.0000, 0.1661, 0.0000) (multiplicity 4)  6 Nd 2.70-2.72
H (0.0000, 0.5000, 0.0000) (multiplicity 2)  6 Nd 2.76-2.79
Br (0.0000, 0.0000, 0.5000) (multiplicity 2)  6 Nd 3.28-3.33
Br (0.0000, 0.3309, 0.5000) (multiplicity 4)  6 Nd 3.27-3.34

=====

[5]
DFT (PBE) results for Nd8Co3HBr3 after structural relaxation.

abc: 7.9795 7.9795 22.6767
angles: 90.00 90.00 120.00
With the nearest neighbours (Å) after each atom.
Space group R-3m (No. 166, hexagonal axes)
Symmetry-distinct sites (fractional):
Nd (0.0000, 0.0000, 0.2319) (multiplicity 6)  3 Co 2.74
Nd (0.0059, 0.5029, 0.7677) (multiplicity 18)  2 Co 2.73, 1 H 2.78
Co (0.0000, 0.5000, 0.5000) (multiplicity 9)  6 Nd 2.73-2.74
H (0.0000, 0.0000, 0.5000) (multiplicity 3)  6 Nd 2.78
Br (0.0000, 0.5000, 0.0000) (multiplicity 9)  6 Nd 3.25-3.26

=====

[6]
DFT (PBE) results for Nd4CoHBr2 after structural relaxation.

abc: 6.7094 3.9428 8.0039
angles: 90.00 106.11 90.00
With the nearest neighbours (Å) after each atom.
Space group P2/m (No. 10)
Symmetry-distinct sites (fractional):
Nd (0.2338, 0.0000, 0.1954) (multiplicity 2)  1 Co 2.68, 2 H 2.73
Nd (0.2600, 0.5000, 0.8093) (multiplicity 2)  1 H 2.62, 2 Co 2.73
Co (0.5000, 0.0000, 0.0000) (multiplicity 1)  6 Nd 2.68-2.73
H (0.0000, 0.5000, 0.0000) (multiplicity 1)  6 Nd 2.62-2.73
Br (0.0000, 0.0000, 0.5000) (multiplicity 1)  6 Nd 3.24-3.27
Br (0.5000, 0.5000, 0.5000) (multiplicity 1)  6 Nd 3.26-3.31

=====

Energy values (in eV/atom) by entry order: -5.261, -5.179, -4.228, -5.007, -5.085, -4.833.